(1)
{
  "formula": "MnAl2Se",
  "functional": "PBE",
  "state": "optimized geometry",
  "volume_a3_per_atom": 16.91,
  "e_form_raw_ev_per_atom": 0.143,
  "lattice": [[-2.022, 2.022, 4.137], [2.022, -2.022, 4.137], [2.022, 2.022, -4.137]],
  "species": ["Mn", "Al", "Al", "Se"],
  "frac_coords": [[0.000, 0.000, 0.000], [0.500, 0.500, 0.000], [0.750, 0.250, 0.500], [0.250, 0.750, 0.500]]
}

***

(2)
{
  "formula": "CrAsSe2Br",
  "functional": "PBE",
  "state": "optimized geometry",
  "de_polymorph_mev_per_atom": 230,
  "volume_a3_per_atom": 21.90,
  "e_form_raw_ev_per_atom": 0.458,
  "lattice": [[4.712, 0.000, 0.000], [0.000, 4.712, 0.000], [0.000, 0.000, 4.931]],
  "species": ["Cr", "As", "Se", "Se", "Br"],
  "frac_coords": [[0.000, 0.000, 0.000], [0.500, 0.500, 0.500], [0.000, 0.500, 0.000], [0.500, 0.000, 0.000], [0.000, 0.000, 0.500]]
}

***

Q: Number 1 is which compound?
A: MnAl2Se